Entry 1:
## PmTh3Se4 (GGA-PBE)

Data for PmTh3Se4 after structural relaxation.

The structure belongs to space group P2/c (No. 13); the cell edges are 7.2381, 8.6003 and 7.1938 Å and the angles 90.00°, 110.62° and 90.00°. The asymmetric unit holds Pm at (0.0000, 0.1234, 0.2500), Th at (0.0000, 0.3755, 0.7500), Th at (0.5000, 0.1260, 0.7500), Th at (0.5000, 0.3770, 0.2500), Se at (0.2472, 0.3722, 0.4974) and Se at (0.2484, 0.1239, 0.0010).

Its volume is 419 Å³ per cell. As for the formation energy from raw total energies: -1.610 eV per atom. The electronic total energy comes out at -6.73 eV per atom.

Entry 2:
## PmTh4Se5 (GGA-PBE)

Data for PmTh4Se5 after structural relaxation.

The structure belongs to space group Immm (No. 71); the cell edges are 4.2110, 5.9445 and 20.9483 Å and the angles 90.00°, 90.00° and 90.00°. The asymmetric unit holds Pm at (0.0000, 0.0000, 0.0000), Th at (0.0000, 0.0000, 0.2007), Th at (0.0000, 0.0000, 0.3996), Se at (0.0000, 0.5000, 0.0000), Se at (0.0000, 0.5000, 0.1997) and Se at (0.0000, 0.5000, 0.4008).

Its volume is 524 Å³ per cell. As for the formation energy from raw total energies: -1.602 eV per atom. The electronic total energy comes out at -6.79 eV per atom.

Entry 3:
## Pm2ThSe3 (GGA-PBE)

Data for Pm2ThSe3 after structural relaxation.

The structure belongs to space group Immm (No. 71); the cell edges are 4.1971, 5.9432 and 12.5920 Å and the angles 90.00°, 90.00° and 90.00°. The asymmetric unit holds Pm at (0.0000, 0.0000, 0.1682), Th at (0.0000, 0.0000, 0.5000), Se at (0.0000, 0.5000, 0.1671) and Se at (0.0000, 0.5000, 0.5000).

Its volume is 314 Å³ per cell. As for the formation energy from raw total energies: -1.720 eV per atom. Its energy above the most stable polymorph in this dataset is 0.000 eV/atom. The electronic total energy comes out at -6.28 eV per atom.

Entry 4:
## Pm4ThSe5 (GGA-PBE)

Data for Pm4ThSe5 after structural relaxation.

The structure belongs to space group I4/m (No. 87); the cell edges are 9.3846, 9.3846 and 5.9386 Å and the angles 90.00°, 90.00° and 90.00°. The asymmetric unit holds Pm at (0.0964, 0.6998, 0.0000), Th at (0.0000, 0.0000, 0.5000), Se at (0.0000, 0.0000, 0.0000) and Se at (0.1008, 0.7010, 0.5000).

Its volume is 523 Å³ per cell. As for the formation energy from raw total energies: -1.770 eV per atom. Its energy above the most stable polymorph in this dataset is 0.005 eV/atom. The electronic total energy comes out at -6.15 eV per atom.

Entry 5:
## Pm5Th2Se12 (GGA-PBE)

Data for Pm5Th2Se12 after structural relaxation.

The structure belongs to space group C2/m (No. 12); the cell edges are 16.2083, 7.9893 and 9.5487 Å and the angles 90.00°, 108.25° and 90.00°. The asymmetric unit holds Pm at (0.0000, 0.0000, 0.0000), Pm at (0.1870, 0.5000, 0.3243), Pm at (0.2088, 0.5000, 0.8698), Th at (0.0000, 0.2515, 0.5000), Se at (0.0025, 0.5000, 0.7256), Se at (0.0251, 0.0000, 0.3077), Se at (0.1463, 0.2546, 0.0601) and Se at (0.1848, 0.2779, 0.6039).

Its volume is 1174 Å³ per cell. As for the formation energy from raw total energies: -1.665 eV per atom. The electronic total energy comes out at -5.90 eV per atom.

Entry 6:
## Pm2ThSe (GGA-PBE)

Data for Pm2ThSe after structural relaxation.

The structure belongs to space group P4/mmm (No. 123); the cell edges are 3.6819, 3.6819 and 8.5391 Å and the angles 90.00°, 90.00° and 90.00°. The asymmetric unit holds Pm at (0.0000, 0.0000, 0.2128), Th at (0.5000, 0.5000, 0.5000) and Se at (0.5000, 0.5000, 0.0000).

Its volume is 116 Å³ per cell. As for the formation energy from raw total energies: -0.720 eV per atom. The electronic total energy comes out at -5.82 eV per atom.

Entry 7:
## Pm2Th3Se8 (GGA-PBE)

Data for Pm2Th3Se8 after structural relaxation.

The structure belongs to space group C2/m (No. 12); the cell edges are 14.8717, 8.4751 and 7.0144 Å and the angles 90.00°, 108.10° and 90.00°. The asymmetric unit holds Pm at (0.2449, 0.0000, 0.1669), Th at (0.0000, 0.2477, 0.5000), Th at (0.0000, 0.5000, 0.0000), Se at (0.1110, 0.0000, 0.4010), Se at (0.1239, 0.5000, 0.4217) and Se at (0.1259, 0.2601, 0.9189).

Its volume is 840 Å³ per cell. As for the formation energy from raw total energies: -1.666 eV per atom. The electronic total energy comes out at -6.25 eV per atom.

Entry 8:
## Pm2ThSe3 (GGA-PBE)

Data for Pm2ThSe3 after structural relaxation.

The structure belongs to space group P6_3/mmc (No. 194); the cell edges are 4.1128, 4.1128 and 21.4920 Å and the angles 90.00°, 90.00° and 120.00°. The asymmetric unit holds Pm at (0.3333, 0.6667, 0.0821), Th at (0.0000, 0.0000, 0.2500), Se at (0.0000, 0.0000, 0.0000) and Se at (0.3333, 0.6667, 0.6640).

Its volume is 315 Å³ per cell. As for the formation energy from raw total energies: -1.713 eV per atom. Its energy above the most stable polymorph in this dataset is 0.007 eV/atom. The electronic total energy comes out at -6.28 eV per atom.

Entry 9:
## PmTh2Se5 (GGA-PBE)

Data for PmTh2Se5 after structural relaxation.

The structure belongs to space group Pbam (No. 55); the cell edges are 8.1224, 12.8625 and 4.1207 Å and the angles 90.00°, 90.00° and 90.00°. The asymmetric unit holds Pm at (0.0000, 0.0000, 0.0000), Th at (0.0189, 0.3224, 0.5000), Se at (0.0000, 0.5000, 0.0000), Se at (0.1692, 0.1111, 0.5000) and Se at (0.1872, 0.8031, 0.0000).

Its volume is 431 Å³ per cell. As for the formation energy from raw total energies: -1.717 eV per atom. Its energy above the most stable polymorph in this dataset is 0.000 eV/atom. The electronic total energy comes out at -6.34 eV per atom.

Entry 10:
## Pm4Th3Se8 (GGA-PBE)

Data for Pm4Th3Se8 after structural relaxation.

The structure belongs to space group C2/m (No. 12); the cell edges are 11.8112, 11.8253 and 8.3564 Å and the angles 90.00°, 134.89° and 90.00°. The asymmetric unit holds Pm at (0.0000, 0.0000, 0.0000), Pm at (0.0000, 0.5000, 0.5000), Pm at (0.2500, 0.2500, 0.0000), Th at (0.0000, 0.5000, 0.0000), Th at (0.2500, 0.2500, 0.5000), Se at (0.0000, 0.2448, 0.5000), Se at (0.0000, 0.2488, 0.0000), Se at (0.2427, 0.0000, 0.4984) and Se at (0.2461, 0.0000, 0.9915).

Its volume is 827 Å³ per cell. As for the formation energy from raw total energies: -1.754 eV per atom. The electronic total energy comes out at -6.36 eV per atom.

Entry 11:
## Pm2Th2Se5 (GGA-PBE)

Data for Pm2Th2Se5 after structural relaxation.

The structure belongs to space group C2/m (No. 12); the cell edges are 17.8684, 3.9127 and 7.8347 Å and the angles 90.00°, 90.63° and 90.00°. The asymmetric unit holds Pm at (0.0248, 0.0000, 0.2810), Th at (0.1565, 0.5000, 0.8832), Se at (0.0000, 0.5000, 0.0000), Se at (0.0895, 0.5000, 0.5519) and Se at (0.1831, 0.0000, 0.1700).

Its volume is 548 Å³ per cell. As for the formation energy from raw total energies: -1.557 eV per atom. The electronic total energy comes out at -6.20 eV per atom.

Entry 12:
## PmThSe3 (GGA-PBE)

Data for PmThSe3 after structural relaxation.

The structure belongs to space group Cmc2_1 (No. 36); the cell edges are 4.2855, 21.1196 and 7.4007 Å and the angles 90.00°, 90.00° and 90.00°. The asymmetric unit holds Pm at (0.0000, 0.1608, 0.0000), Th at (0.0000, 0.3385, 0.0051), Se at (0.0000, 0.0919, 0.3395), Se at (0.0000, 0.2503, 0.6695) and Se at (0.0000, 0.4086, 0.3322).

Its volume is 670 Å³ per cell. As for the formation energy from raw total energies: -1.654 eV per atom. Its energy above the most stable polymorph in this dataset is 0.148 eV/atom. The electronic total energy comes out at -6.18 eV per atom.